Record 1
Here is PuTcH2 after structural relaxation from Alexandria via LeMat-Bulk. Energies are from PBE.

Cell lengths 5.752, 5.752, 5.752 Å; angles 29.72, 29.72, 29.72 degrees
Atoms (fractional coordinates):
Pu  0.000  0.000  0.000
Tc  0.500  0.500  0.500
H  0.221  0.221  0.221
H  0.779  0.779  0.779

Properties
N(E_F)	1.3938	states/eV/atom
energy	-0.5770	Ry/atom

***

Record 2
Here is Ho6HgRu2 after structural relaxation from Alexandria via LeMat-Bulk. Energies are from PBE.

Cell lengths 8.415, 8.415, 8.415 Å; angles 112.73, 112.30, 103.54 degrees
Atoms (fractional coordinates):
Ho  0.041  0.242  0.799
Ho  0.182  0.285  0.467
Ho  0.182  0.715  0.897
Ho  0.330  0.017  0.687
Ho  0.330  0.644  0.313
Ho  0.443  0.242  0.201
Ho  0.557  0.758  0.799
Ho  0.670  0.356  0.687
Ho  0.670  0.983  0.313
Ho  0.818  0.285  0.103
Ho  0.818  0.715  0.533
Ho  0.959  0.758  0.201
Hg  0.000  0.000  0.000
Hg  0.500  0.500  0.000
Ru  0.128  0.628  0.500
Ru  0.325  0.000  0.325
Ru  0.675  0.000  0.675
Ru  0.872  0.372  0.500

Properties
polymorph energy (0 for the lowest one)	0	meV/atom
N(E_F)	0.9219	states/eV/atom